*one*
# MnSnI2N | the Alexandria database | PBE-GGA | relaxed
data_MnSnI2N
_chemical_formula_sum 'Mn1 Sn1 I2 N1'
_symmetry_space_group_name_H-M 'P 1'
_symmetry_Int_Tables_number 1
_cell_length_a 5.676
_cell_length_b 5.676
_cell_length_c 3.547
_cell_angle_alpha 90.00
_cell_angle_beta 90.00
_cell_angle_gamma 90.00
loop_
_symmetry_equiv_pos_as_xyz
'x,y,z'
loop_
_atom_site_label
_atom_site_fract_x
_atom_site_fract_y
_atom_site_fract_z
I1 0.000 0.500 0.000
I2 0.500 0.000 0.000
Mn1 0.000 0.000 0.000
Sn1 0.500 0.500 0.500
N1 0.000 0.000 0.500
# Total magnetic moment ... 0.001 μB/atom

*two*
# MnSnI2N | the Alexandria database | PBE-GGA | relaxed
data_MnSnI2N
_chemical_formula_sum 'Mn1 Sn1 I2 N1'
_symmetry_space_group_name_H-M 'P 1'
_symmetry_Int_Tables_number 1
_cell_length_a 6.123
_cell_length_b 6.123
_cell_length_c 3.873
_cell_angle_alpha 90.00
_cell_angle_beta 90.00
_cell_angle_gamma 90.00
loop_
_symmetry_equiv_pos_as_xyz
'x,y,z'
loop_
_atom_site_label
_atom_site_fract_x
_atom_site_fract_y
_atom_site_fract_z
I1 0.000 0.500 0.000
I2 0.500 0.000 0.000
Mn1 0.500 0.500 0.500
Sn1 0.000 0.000 0.000
N1 0.000 0.000 0.500
# Total magnetic moment ... 1.018 μB/atom

The relative energies come out as *one* 0.0; *two* 46.6, with values in kJ/mol of atoms.

*one*
# SrMnI2N | the Alexandria database | PBE-GGA | relaxed
data_SrMnI2N
_chemical_formula_sum 'Sr1 Mn1 I2 N1'
_symmetry_space_group_name_H-M 'P 1'
_symmetry_Int_Tables_number 1
_cell_length_a 6.372
_cell_length_b 6.989
_cell_length_c 6.372
_cell_angle_alpha 90.00
_cell_angle_beta 90.00
_cell_angle_gamma 90.00
loop_
_symmetry_equiv_pos_as_xyz
'x,y,z'
loop_
_atom_site_label
_atom_site_fract_x
_atom_site_fract_y
_atom_site_fract_z
I1 0.000 0.000 0.500
I2 0.500 0.000 0.000
Sr1 0.000 0.000 0.000
Mn1 0.000 0.500 0.000
N1 0.500 0.500 0.500
# Total magnetic moment ... 1.600 μB/atom

*two*
# SrMnI2N | the Alexandria database | PBE-GGA | relaxed
data_SrMnI2N
_chemical_formula_sum 'Sr1 Mn1 I2 N1'
_symmetry_space_group_name_H-M 'P 1'
_symmetry_Int_Tables_number 1
_cell_length_a 6.480
_cell_length_b 6.480
_cell_length_c 5.023
_cell_angle_alpha 90.00
_cell_angle_beta 90.00
_cell_angle_gamma 90.00
loop_
_symmetry_equiv_pos_as_xyz
'x,y,z'
loop_
_atom_site_label
_atom_site_fract_x
_atom_site_fract_y
_atom_site_fract_z
I1 0.000 0.500 0.000
I2 0.500 0.000 0.000
Sr1 0.000 0.000 0.000
Mn1 0.500 0.500 0.500
N1 0.000 0.000 0.500
# Total magnetic moment ... 1.600 μB/atom

*three*
# SrMnI2N | the Alexandria database | PBE-GGA | relaxed
data_SrMnI2N
_chemical_formula_sum 'Sr1 Mn1 I2 N1'
_symmetry_space_group_name_H-M 'P 1'
_symmetry_Int_Tables_number 1
_cell_length_a 5.926
_cell_length_b 5.926
_cell_length_c 3.730
_cell_angle_alpha 90.00
_cell_angle_beta 90.00
_cell_angle_gamma 90.00
loop_
_symmetry_equiv_pos_as_xyz
'x,y,z'
loop_
_atom_site_label
_atom_site_fract_x
_atom_site_fract_y
_atom_site_fract_z
I1 0.000 0.500 0.000
I2 0.500 0.000 0.000
Sr1 0.500 0.500 0.500
Mn1 0.000 0.000 0.000
N1 0.000 0.000 0.500
# Total magnetic moment ... 0.647 μB/atom

The relative energies come out as *one* 120.3; *two* 81.9; *three* 0.0, with values in kJ/mol of atoms.

*one*
# TaMnIN2 | the Alexandria database | PBE-GGA | relaxed
data_TaMnIN2
_chemical_formula_sum 'Ta1 Mn1 I1 N2'
_symmetry_space_group_name_H-M 'P 1'
_symmetry_Int_Tables_number 1
_cell_length_a 4.042
_cell_length_b 4.042
_cell_length_c 5.826
_cell_angle_alpha 90.00
_cell_angle_beta 90.00
_cell_angle_gamma 90.00
loop_
_symmetry_equiv_pos_as_xyz
'x,y,z'
loop_
_atom_site_label
_atom_site_fract_x
_atom_site_fract_y
_atom_site_fract_z
I1 0.000 0.000 0.500
N1 0.000 0.500 0.000
N2 0.500 0.000 0.000
Mn1 0.500 0.500 0.500
Ta1 0.000 0.000 0.000
# Total magnetic moment ... 0.921 μB/atom

*two*
# TaMnIN2 | the Alexandria database | PBE-GGA | relaxed
data_TaMnIN2
_chemical_formula_sum 'Ta1 Mn1 I1 N2'
_symmetry_space_group_name_H-M 'P 1'
_symmetry_Int_Tables_number 1
_cell_length_a 3.864
_cell_length_b 3.864
_cell_length_c 5.145
_cell_angle_alpha 90.00
_cell_angle_beta 90.00
_cell_angle_gamma 90.00
loop_
_symmetry_equiv_pos_as_xyz
'x,y,z'
loop_
_atom_site_label
_atom_site_fract_x
_atom_site_fract_y
_atom_site_fract_z
I1 0.000 0.000 0.500
N1 0.000 0.500 0.000
N2 0.500 0.000 0.000
Mn1 0.000 0.000 0.000
Ta1 0.500 0.500 0.500
# Total magnetic moment ... 0.511 μB/atom

The relative energies come out as *one* 0.0; *two* 89.8, with values in kJ/mol of atoms.

*one*
# MnTcI2N | the Alexandria database | PBE-GGA | relaxed
data_MnTcI2N
_chemical_formula_sum 'Mn1 Tc1 I2 N1'
_symmetry_space_group_name_H-M 'P 1'
_symmetry_Int_Tables_number 1
_cell_length_a 5.592
_cell_length_b 5.592
_cell_length_c 3.761
_cell_angle_alpha 90.00
_cell_angle_beta 90.00
_cell_angle_gamma 90.00
loop_
_symmetry_equiv_pos_as_xyz
'x,y,z'
loop_
_atom_site_label
_atom_site_fract_x
_atom_site_fract_y
_atom_site_fract_z
I1 0.000 0.500 0.000
I2 0.500 0.000 0.000
Mn1 0.500 0.500 0.500
Tc1 0.000 0.000 0.000
N1 0.000 0.000 0.500
# Total magnetic moment ... 0.945 μB/atom

*two*
# MnTcI2N | the Alexandria database | PBE-GGA | relaxed
data_MnTcI2N
_chemical_formula_sum 'Mn1 Tc1 I2 N1'
_symmetry_space_group_name_H-M 'P 1'
_symmetry_Int_Tables_number 1
_cell_length_a 5.642
_cell_length_b 5.642
_cell_length_c 3.561
_cell_angle_alpha 90.00
_cell_angle_beta 90.00
_cell_angle_gamma 90.00
loop_
_symmetry_equiv_pos_as_xyz
'x,y,z'
loop_
_atom_site_label
_atom_site_fract_x
_atom_site_fract_y
_atom_site_fract_z
I1 0.000 0.500 0.000
I2 0.500 0.000 0.000
Mn1 0.000 0.000 0.000
Tc1 0.500 0.500 0.500
N1 0.000 0.000 0.500
# Total magnetic moment ... 1.355 μB/atom

The relative energies come out as *one* 0.0; *two* 32.0, with values in kJ/mol of atoms.

*one*
# MnTcIN2 | the Alexandria database | PBE-GGA | relaxed
data_MnTcIN2
_chemical_formula_sum 'Mn1 Tc1 I1 N2'
_symmetry_space_group_name_H-M 'P 1'
_symmetry_Int_Tables_number 1
_cell_length_a 3.902
_cell_length_b 3.902
_cell_length_c 5.728
_cell_angle_alpha 90.00
_cell_angle_beta 90.00
_cell_angle_gamma 90.00
loop_
_symmetry_equiv_pos_as_xyz
'x,y,z'
loop_
_atom_site_label
_atom_site_fract_x
_atom_site_fract_y
_atom_site_fract_z
I1 0.000 0.000 0.500
Mn1 0.500 0.500 0.500
Tc1 0.000 0.000 0.000
N1 0.000 0.500 0.000
N2 0.500 0.000 0.000
# Total magnetic moment ... 0.927 μB/atom

*two*
# MnTcIN2 | the Alexandria database | PBE-GGA | relaxed
data_MnTcIN2
_chemical_formula_sum 'Mn1 Tc1 I1 N2'
_symmetry_space_group_name_H-M 'P 1'
_symmetry_Int_Tables_number 1
_cell_length_a 3.726
_cell_length_b 3.726
_cell_length_c 5.659
_cell_angle_alpha 90.00
_cell_angle_beta 90.00
_cell_angle_gamma 90.00
loop_
_symmetry_equiv_pos_as_xyz
'x,y,z'
loop_
_atom_site_label
_atom_site_fract_x
_atom_site_fract_y
_atom_site_fract_z
I1 0.000 0.000 0.500
Mn1 0.000 0.000 0.000
Tc1 0.500 0.500 0.500
N1 0.000 0.500 0.000
N2 0.500 0.000 0.000
# Total magnetic moment ... 0.590 μB/atom

The relative energies come out as *one* 0.0; *two* 50.1, with values in kJ/mol of atoms.

*one*
# MnTe2IN | the Alexandria database | PBE-GGA | relaxed
data_MnTe2IN
_chemical_formula_sum 'Mn1 Te2 I1 N1'
_symmetry_space_group_name_H-M 'P 1'
_symmetry_Int_Tables_number 1
_cell_length_a 5.947
_cell_length_b 5.947
_cell_length_c 3.948
_cell_angle_alpha 90.00
_cell_angle_beta 90.00
_cell_angle_gamma 90.00
loop_
_symmetry_equiv_pos_as_xyz
'x,y,z'
loop_
_atom_site_label
_atom_site_fract_x
_atom_site_fract_y
_atom_site_fract_z
I1 0.000 0.000 0.000
Te1 0.000 0.500 0.000
Te2 0.500 0.000 0.000
Mn1 0.500 0.500 0.500
N1 0.000 0.000 0.500
# Total magnetic moment ... 0.957 μB/atom

*two*
# MnTe2IN | the Alexandria database | PBE-GGA | relaxed
data_MnTe2IN
_chemical_formula_sum 'Mn1 Te2 I1 N1'
_symmetry_space_group_name_H-M 'P 1'
_symmetry_Int_Tables_number 1
_cell_length_a 5.235
_cell_length_b 5.235
_cell_length_c 5.654
_cell_angle_alpha 90.00
_cell_angle_beta 90.00
_cell_angle_gamma 90.00
loop_
_symmetry_equiv_pos_as_xyz
'x,y,z'
loop_
_atom_site_label
_atom_site_fract_x
_atom_site_fract_y
_atom_site_fract_z
I1 0.000 0.000 0.500
Te1 0.000 0.500 0.000
Te2 0.500 0.000 0.000
Mn1 0.000 0.000 0.000
N1 0.500 0.500 0.500
# Total magnetic moment ... 1.173 μB/atom

The relative energies come out as *one* 16.7; *two* 0.0, with values in kJ/mol of atoms.

*one*
# TiMnI2N | the Alexandria database | PBE-GGA | relaxed
data_TiMnI2N
_chemical_formula_sum 'Ti1 Mn1 I2 N1'
_symmetry_space_group_name_H-M 'P 1'
_symmetry_Int_Tables_number 1
_cell_length_a 5.711
_cell_length_b 5.711
_cell_length_c 3.768
_cell_angle_alpha 90.00
_cell_angle_beta 90.00
_cell_angle_gamma 90.00
loop_
_symmetry_equiv_pos_as_xyz
'x,y,z'
loop_
_atom_site_label
_atom_site_fract_x
_atom_site_fract_y
_atom_site_fract_z
I1 0.000 0.500 0.000
I2 0.500 0.000 0.000
N1 0.000 0.000 0.500
Mn1 0.500 0.500 0.500
Ti1 0.000 0.000 0.000
# Total magnetic moment ... 0.967 μB/atom

*two*
# TiMnI2N | the Alexandria database | PBE-GGA | relaxed
data_TiMnI2N
_chemical_formula_sum 'Ti1 Mn1 I2 N1'
_symmetry_space_group_name_H-M 'P 1'
_symmetry_Int_Tables_number 1
_cell_length_a 5.360
_cell_length_b 5.360
_cell_length_c 3.521
_cell_angle_alpha 90.00
_cell_angle_beta 90.00
_cell_angle_gamma 90.00
loop_
_symmetry_equiv_pos_as_xyz
'x,y,z'
loop_
_atom_site_label
_atom_site_fract_x
_atom_site_fract_y
_atom_site_fract_z
I1 0.000 0.500 0.000
I2 0.500 0.000 0.000
N1 0.000 0.000 0.500
Mn1 0.000 0.000 0.000
Ti1 0.500 0.500 0.500
# Total magnetic moment ... 0.155 μB/atom

The relative energies come out as *one* 0.0; *two* 33.1, with values in kJ/mol of atoms.

*one*
# TiMnIN2 | the Alexandria database | PBE-GGA | relaxed
data_TiMnIN2
_chemical_formula_sum 'Ti1 Mn1 I1 N2'
_symmetry_space_group_name_H-M 'P 1'
_symmetry_Int_Tables_number 1
_cell_length_a 3.941
_cell_length_b 3.941
_cell_length_c 5.771
_cell_angle_alpha 90.00
_cell_angle_beta 90.00
_cell_angle_gamma 90.00
loop_
_symmetry_equiv_pos_as_xyz
'x,y,z'
loop_
_atom_site_label
_atom_site_fract_x
_atom_site_fract_y
_atom_site_fract_z
I1 0.000 0.000 0.500
N1 0.000 0.500 0.000
N2 0.500 0.000 0.000
Mn1 0.500 0.500 0.500
Ti1 0.000 0.000 0.000
# Total magnetic moment ... 0.951 μB/atom

*two*
# TiMnIN2 | the Alexandria database | PBE-GGA | relaxed
data_TiMnIN2
_chemical_formula_sum 'Ti1 Mn1 I1 N2'
_symmetry_space_group_name_H-M 'P 1'
_symmetry_Int_Tables_number 1
_cell_length_a 3.780
_cell_length_b 3.780
_cell_length_c 5.357
_cell_angle_alpha 90.00
_cell_angle_beta 90.00
_cell_angle_gamma 90.00
loop_
_symmetry_equiv_pos_as_xyz
'x,y,z'
loop_
_atom_site_label
_atom_site_fract_x
_atom_site_fract_y
_atom_site_fract_z
I1 0.000 0.000 0.500
N1 0.000 0.500 0.000
N2 0.500 0.000 0.000
Mn1 0.000 0.000 0.000
Ti1 0.500 0.500 0.500
# Total magnetic moment ... 0.391 μB/atom

The relative energies come out as *one* 0.0; *two* 36.1, with values in kJ/mol of atoms.